The following is a DFT calculation (PBEsol) of LiMnSe after structural relaxation.

abc: 5.870 5.870 5.870
angles: 90.00 90.00 90.00
Space group F-43m (No. 216)
Inequivalent atoms, fractional coordinates:
1 Li 0.000 0.000 0.000 [4 per cell]
2 Mn 0.250 0.250 0.750 [4 per cell]
3 Se 0.000 0.000 0.500 [4 per cell]

* DFT total energy: -5.34 eV per atom
* ΔE_f (raw): -0.15 eV/atom

***

The following is a DFT calculation (PBEsol) of SrLiMn2Se after structural relaxation.

abc: 4.641 4.641 4.758
angles: 90.00 90.00 90.00
Space group P4/mmm (No. 123)
Inequivalent atoms, fractional coordinates:
1 Sr 0.000 0.000 0.000 [1 per cell]
2 Li 0.500 0.500 0.000 [1 per cell]
3 Mn 0.000 0.500 0.500 [2 per cell]
4 Se 0.500 0.500 0.500 [1 per cell]

* DFT total energy: -5.25 eV per atom
* ΔE_f (raw): 0.19 eV/atom

***

The following is a DFT calculation (PBEsol) of LiMn4Si after structural relaxation.

abc: 6.452 6.452 6.452
angles: 90.00 90.00 90.00
Space group F-43m (No. 216)
Inequivalent atoms, fractional coordinates:
1 Li 0.000 0.000 0.000 [4 per cell]
2 Mn 0.125 0.125 0.625 [16 per cell]
3 Si 0.250 0.250 0.250 [4 per cell]

* DFT total energy: -7.62 eV per atom
* ΔE_f (raw): 0.17 eV/atom

***

The following is a DFT calculation (PBEsol) of Li2MnSi after structural relaxation.

abc: 4.680 9.077 2.535
angles: 90.00 118.62 90.00
Space group C2/m (No. 12)
Inequivalent atoms, fractional coordinates:
1 Li 0.250 0.250 0.000 [4 per cell]
2 Mn 0.000 0.000 0.500 [2 per cell]
3 Si 0.000 0.500 0.500 [2 per cell]

* DFT total energy: -4.88 eV per atom
* ΔE_f (raw): -0.02 eV/atom

***

The following is a DFT calculation (PBEsol) of Li2MnSi after structural relaxation.

abc: 2.389 2.389 8.508
angles: 90.00 90.00 90.00
Space group P4/mmm (No. 123)
Inequivalent atoms, fractional coordinates:
1 Li 0.000 0.000 0.248 [2 per cell]
2 Mn 0.500 0.500 0.500 [1 per cell]
3 Si 0.500 0.500 0.000 [1 per cell]

* DFT total energy: -4.66 eV per atom
* ΔE_f (raw): 0.20 eV/atom

***

The following is a DFT calculation (PBEsol) of Li3MnSi after structural relaxation.

abc: 4.584 4.584 4.584
angles: 90.00 90.00 90.00
Space group Pm-3m (No. 221)
Inequivalent atoms, fractional coordinates:
1 Li 0.000 0.000 0.500 [3 per cell]
2 Mn 0.000 0.000 0.000 [1 per cell]
3 Si 0.500 0.500 0.500 [1 per cell]

* DFT total energy: -3.28 eV per atom
* ΔE_f (raw): 1.00 eV/atom

***

The following is a DFT calculation (PBEsol) of Li4MnSi after structural relaxation.

abc: 6.782 6.782 6.782
angles: 90.00 90.00 90.00
Space group F-43m (No. 216)
Inequivalent atoms, fractional coordinates:
1 Li 0.125 0.125 0.125 [16 per cell]
2 Mn 0.000 0.000 0.500 [4 per cell]
3 Si 0.250 0.250 0.750 [4 per cell]

* DFT total energy: -3.66 eV per atom
* ΔE_f (raw): 0.24 eV/atom

***

The following is a DFT calculation (PBEsol) of Sr4LiMn after structural relaxation.

abc: 10.267 10.267 10.267
angles: 90.00 90.00 90.00
Space group F-43m (No. 216)
Inequivalent atoms, fractional coordinates:
1 Sr 0.125 0.125 0.125 [16 per cell]
2 Li 0.000 0.000 0.500 [4 per cell]
3 Mn 0.250 0.250 0.750 [4 per cell]

* energy of formation: 0.79 eV/atom
* DFT total energy: -2.39 eV per atom

***

The following is a DFT calculation (PBEsol) of Li2TaMn after structural relaxation.

abc: 3.016 4.693 7.901
angles: 90.00 90.00 90.00
Space group Imm2 (No. 44)
Inequivalent atoms, fractional coordinates:
1 Li 0.000 0.000 0.000 [2 per cell]
2 Li 0.000 0.500 0.266 [2 per cell]
3 Ta 0.000 0.000 0.481 [2 per cell]
4 Mn 0.000 0.500 0.750 [2 per cell]

* energy of formation: 0.56 eV/atom
* DFT total energy: -6.01 eV per atom
* offset from the most stable computed form: 0.1413 eV/atom

***

The following is a DFT calculation (PBEsol) of Li2TaMn after structural relaxation.

abc: 3.426 3.426 4.746
angles: 90.00 90.00 90.00
Space group P4/mmm (No. 123)
Inequivalent atoms, fractional coordinates:
1 Li 0.000 0.500 0.000 [2 per cell]
2 Ta 0.000 0.000 0.500 [1 per cell]
3 Mn 0.500 0.500 0.500 [1 per cell]

* energy of formation: 0.41 eV/atom
* DFT total energy: -6.15 eV per atom
* offset from the most stable computed form: 0.0000 eV/atom

***

The following is a DFT calculation (PBEsol) of LiTa2Mn after structural relaxation.

abc: 3.658 3.658 8.566
angles: 90.00 90.00 90.00
Space group I-4m2 (No. 119)
Inequivalent atoms, fractional coordinates:
1 Li 0.000 0.000 0.000 [2 per cell]
2 Ta 0.000 0.000 0.500 [2 per cell]
3 Ta 0.000 0.500 0.750 [2 per cell]
4 Mn 0.000 0.500 0.250 [2 per cell]

* energy of formation: 0.41 eV/atom
* DFT total energy: -8.80 eV per atom
* offset from the most stable computed form: 0.0593 eV/atom

***

The following is a DFT calculation (PBEsol) of LiTa2Mn after structural relaxation.

abc: 3.144 3.144 5.775
angles: 90.00 90.00 90.00
Space group P4mm (No. 99)
Inequivalent atoms, fractional coordinates:
1 Li 0.000 0.000 0.000 [1 per cell]
2 Ta 0.000 0.000 0.447 [1 per cell]
3 Ta 0.500 0.500 0.750 [1 per cell]
4 Mn 0.500 0.500 0.211 [1 per cell]

* energy of formation: 0.35 eV/atom
* DFT total energy: -8.86 eV per atom
* offset from the most stable computed form: 0.0000 eV/atom